{
  "formula": "LaTi2ZnPb",
  "functional": "PBE",
  "state": "optimized geometry",
  "lattice": [[4.900, 0.000, 0.000], [0.000, 4.900, 0.000], [0.000, 0.000, 5.452]],
  "species": ["La", "Ti", "Ti", "Zn", "Pb"],
  "frac_coords": [[0.000, 0.000, 0.000], [0.000, 0.500, 0.500], [0.500, 0.000, 0.500], [0.000, 0.000, 0.500], [0.500, 0.500, 0.000]],
  "crystal_system": "tetragonal",
  "magmom_total_mub_per_atom": 0.219,
  "formation_enthalpy_0k_ev_per_fu": 1.90,
  "total_energy_ev_per_atom": -4.76
}

=====

{
  "formula": "ZrTiNbRu",
  "functional": "PBE",
  "state": "optimized geometry",
  "lattice": [[0.000, 3.257, 3.257], [3.257, 0.000, 3.257], [3.257, 3.257, 0.000]],
  "species": ["Zr", "Ti", "Nb", "Ru"],
  "frac_coords": [[0.000, 0.000, 0.000], [0.500, 0.500, 0.500], [0.750, 0.750, 0.750], [0.250, 0.250, 0.250]],
  "crystal_system": "cubic",
  "magmom_total_mub_per_atom": 0.000,
  "formation_enthalpy_0k_ev_per_fu": -0.79,
  "total_energy_ev_per_atom": -9.15
}

=====

{
  "formula": "BeOs2Pt",
  "functional": "PBE",
  "state": "optimized geometry",
  "lattice": [[3.665, 0.000, 0.000], [0.000, 3.665, 0.000], [0.000, 0.000, 4.090]],
  "species": ["Be", "Os", "Os", "Pt"],
  "frac_coords": [[0.000, 0.000, 0.000], [0.000, 0.500, 0.500], [0.500, 0.000, 0.500], [0.500, 0.500, 0.000]],
  "crystal_system": "tetragonal",
  "magmom_total_mub_per_atom": 0.000,
  "formation_enthalpy_0k_ev_per_fu": 0.92,
  "total_energy_ev_per_atom": -7.83
}

=====

{
  "formula": "TlOsPbCl2",
  "functional": "PBE",
  "state": "optimized geometry",
  "lattice": [[5.745, 0.000, 0.000], [0.000, 5.745, 0.000], [0.000, 0.000, 5.327]],
  "species": ["Tl", "Os", "Pb", "Cl", "Cl"],
  "frac_coords": [[0.000, 0.000, 0.000], [0.500, 0.500, 0.000], [0.500, 0.500, 0.500], [0.000, 0.500, 0.500], [0.500, 0.000, 0.500]],
  "crystal_system": "tetragonal",
  "magmom_total_mub_per_atom": 0.529,
  "raw_formation_energy_ev_per_fu": 2.94,
  "total_energy_ev_per_atom": -3.61
}

=====

{
  "formula": "Th3Zn6Ga5",
  "functional": "PBE",
  "state": "optimized geometry",
  "lattice": [[4.297, 0.000, 0.000], [0.000, 12.743, 0.000], [0.000, 0.000, 10.023]],
  "species": ["Th", "Th", "Th", "Th", "Th", "Th", "Zn", "Zn", "Zn", "Zn", "Zn", "Zn", "Zn", "Zn", "Zn", "Zn", "Zn", "Zn", "Ga", "Ga", "Ga", "Ga", "Ga", "Ga", "Ga", "Ga", "Ga", "Ga"],
  "frac_coords": [[0.250, 0.071, 0.249], [0.250, 0.429, 0.249], [0.250, 0.750, 0.251], [0.750, 0.250, 0.749], [0.750, 0.571, 0.751], [0.750, 0.929, 0.751], [0.250, 0.085, 0.618], [0.250, 0.250, 0.023], [0.250, 0.250, 0.472], [0.250, 0.415, 0.618], [0.250, 0.602, 0.986], [0.250, 0.898, 0.986], [0.750, 0.102, 0.014], [0.750, 0.398, 0.014], [0.750, 0.585, 0.382], [0.750, 0.750, 0.528], [0.750, 0.750, 0.977], [0.750, 0.915, 0.382], [0.250, 0.087, 0.872], [0.250, 0.413, 0.872], [0.250, 0.610, 0.521], [0.250, 0.750, 0.782], [0.250, 0.890, 0.521], [0.750, 0.110, 0.479], [0.750, 0.250, 0.218], [0.750, 0.390, 0.479], [0.750, 0.587, 0.128], [0.750, 0.913, 0.128]],
  "crystal_system": "orthorhombic",
  "magmom_total_mub_per_atom": 0.000,
  "formation_enthalpy_0k_ev_per_fu": -5.58,
  "total_energy_ev_per_atom": -3.62
}

=====

{
  "formula": "Ac3Be2GePt9",
  "functional": "PBE",
  "state": "optimized geometry",
  "lattice": [[6.042, 0.000, 0.000], [-3.021, 5.233, 0.000], [0.000, 0.000, 9.353]],
  "species": ["Ac", "Ac", "Ac", "Be", "Be", "Ge", "Pt", "Pt", "Pt", "Pt", "Pt", "Pt", "Pt", "Pt", "Pt"],
  "frac_coords": [[0.000, 0.000, 0.000], [0.333, 0.667, 0.642], [0.667, 0.333, 0.358], [0.333, 0.667, 0.151], [0.667, 0.333, 0.849], [0.000, 0.000, 0.500], [0.000, 0.500, 0.000], [0.165, 0.330, 0.301], [0.165, 0.835, 0.301], [0.330, 0.165, 0.699], [0.500, 0.000, 0.000], [0.500, 0.500, 0.000], [0.670, 0.835, 0.301], [0.835, 0.165, 0.699], [0.835, 0.670, 0.699]],
  "crystal_system": "trigonal",
  "magmom_total_mub_per_atom": 0.000,
  "formation_enthalpy_0k_ev_per_fu": -12.03,
  "total_energy_ev_per_atom": -6.05
}

=====

{
  "formula": "CrCo2",
  "functional": "PBE",
  "state": "optimized geometry",
  "lattice": [[4.934, 0.000, 0.000], [0.000, 3.499, 0.000], [0.000, 0.000, 7.430]],
  "species": ["Cr", "Cr", "Cr", "Cr", "Co", "Co", "Co", "Co", "Co", "Co", "Co", "Co"],
  "frac_coords": [[0.137, 0.250, 0.087], [0.363, 0.750, 0.587], [0.637, 0.250, 0.413], [0.863, 0.750, 0.913], [0.124, 0.250, 0.754], [0.127, 0.250, 0.416], [0.373, 0.750, 0.916], [0.376, 0.750, 0.254], [0.624, 0.250, 0.746], [0.627, 0.250, 0.084], [0.873, 0.750, 0.584], [0.876, 0.750, 0.246]],
  "crystal_system": "orthorhombic",
  "magmom_total_mub_per_atom": 0.020,
  "formation_enthalpy_0k_ev_per_fu": 0.21,
  "total_energy_ev_per_atom": -7.87
}

=====

{
  "formula": "UCu4Au",
  "functional": "PBE",
  "state": "optimized geometry",
  "lattice": [[0.000, 3.576, 3.576], [3.576, 0.000, 3.576], [3.576, 3.576, 0.000]],
  "species": ["U", "Cu", "Cu", "Cu", "Cu", "Au"],
  "frac_coords": [[0.000, 0.000, 0.000], [0.376, 0.376, 0.376], [0.376, 0.376, 0.872], [0.376, 0.872, 0.376], [0.872, 0.376, 0.376], [0.750, 0.750, 0.750]],
  "crystal_system": "cubic",
  "magmom_total_mub_per_atom": 0.280,
  "formation_enthalpy_0k_ev_per_fu": -0.23,
  "total_energy_ev_per_atom": -5.20
}

=====

- Which formula does entry 7 have?
  CrCo2